An optimized crystal structure of CoP2O6. Source: OQMD via LeMat-Bulk, functional PBE+U.

a = 4.492 Å, b = 4.492 Å, c = 4.432 Å
α = 90.00°, β = 90.00°, γ = 120.00°
Fractional positions:
O 0.628 0.628 0.287
O 0.000 0.628 0.713
O 0.628 0.000 0.713
O 0.000 0.372 0.287
O 0.372 0.372 0.713
O 0.372 0.000 0.287
P 0.667 0.333 0.500
P 0.333 0.667 0.500
Co 0.000 0.000 0.000

Summary:
* calculated volume: 77.4 Å³/cell
* E above lowest polymorph: 124 meV per atom